No. 1
An optimized crystal structure of LiLuSeO. Source: the Open Quantum Materials Database, functional PBE.

Properties
As for the crystal system: tetragonal. Its mass density is 7.2 g/cm3. The offset from the most stable computed form comes out at 0 meV/atom. The total energy is -6.1148 eV/atom.

a b c (Å): 3.833 3.833 8.727
angles (deg): 90.00 90.00 90.00
Space group P4/nmm (No. 129, origin choice 2)
Inequivalent atoms, fractional coordinates:
Li1 0.250 0.750 0.000 [2 per cell]
Lu1 0.250 0.250 0.379 [2 per cell]
Se1 0.250 0.250 0.816 [2 per cell]
O1 0.250 0.750 0.500 [2 per cell]

=====

No. 2
An optimized crystal structure of Ho3Mg3TlAgHg. Source: the Open Quantum Materials Database, functional PBE.

Properties
As for the crystal system: hexagonal. Its mass density is 8.2 g/cm3. The total energy is -2.9915 eV/atom.

a b c (Å): 7.7524 7.7524 4.2063
angles (deg): 90.00 90.00 120.00
Space group P-6 (No. 174)
Inequivalent atoms, fractional coordinates:
Ho1 0.0801 0.3417 0.0000 [3 per cell]
Mg1 0.4240 0.3363 0.5000 [3 per cell]
Tl1 0.0000 0.0000 0.5000 [1 per cell]
Ag1 0.6667 0.3333 0.0000 [1 per cell]
Hg1 0.3333 0.6667 0.5000 [1 per cell]

=====

No. 3
An optimized crystal structure of DyFe2SiB. Source: the Open Quantum Materials Database, functional PBE.

Properties
As for the crystal system: tetragonal. Its mass density is 7.9 g/cm3. The total energy is -7.1609 eV/atom.

a b c (Å): 3.746 3.746 9.420
angles (deg): 90.00 90.00 90.00
Space group I4mm (No. 107)
Inequivalent atoms, fractional coordinates:
Dy1 0.000 0.000 0.000 [2 per cell]
Fe1 0.000 0.500 0.230 [4 per cell]
Si1 0.000 0.000 0.364 [2 per cell]
B1 0.000 0.000 0.629 [2 per cell]

=====

No. 4
An optimized crystal structure of TaAg2WS6. Source: the Open Quantum Materials Database, functional PBE.

Properties
As for the crystal system: cubic. Its mass density is 6.0 g/cm3. The total energy is -5.5811 eV/atom.

a b c (Å): 9.511 9.511 9.511
angles (deg): 90.00 90.00 90.00
Space group Fm-3m (No. 225)
Inequivalent atoms, fractional coordinates:
Ta1 0.000 0.000 0.000 [4 per cell]
Ag1 0.250 0.250 0.250 [8 per cell]
W1 0.000 0.000 0.500 [4 per cell]
S1 0.000 0.000 0.252 [24 per cell]

=====

No. 5
An optimized crystal structure of HgPb2IBrO2. Source: the Open Quantum Materials Database, functional PBE.

Properties
As for the crystal system: monoclinic. Its mass density is 8.1 g/cm3. The total energy is -3.7976 eV/atom.

a b c (Å): 12.238 4.058 8.357
angles (deg): 90.00 122.06 90.00
Space group Cm (No. 8)
Inequivalent atoms, fractional coordinates:
Hg1 0.000 0.000 0.000 [2 per cell]
Pb1 0.189 0.000 0.770 [2 per cell]
Pb2 0.310 0.500 0.220 [2 per cell]
I1 0.425 0.000 0.644 [2 per cell]
Br1 0.064 0.500 0.323 [2 per cell]
O1 0.190 0.000 0.057 [2 per cell]
O2 0.308 0.500 0.935 [2 per cell]

=====

No. 6
An optimized crystal structure of AlTlPdSe3. Source: the Open Quantum Materials Database, functional PBE.

Properties
As for the crystal system: orthorhombic. Its mass density is 6.4 g/cm3. The total energy is -4.0760 eV/atom.

a b c (Å): 14.055 3.866 10.973
angles (deg): 90.00 90.00 90.00
Space group Pnma (No. 62)
Inequivalent atoms, fractional coordinates:
Al1 0.016 0.250 0.137 [4 per cell]
Tl1 0.218 0.250 0.454 [4 per cell]
Pd1 0.011 0.750 0.414 [4 per cell]
Se1 0.078 0.750 0.663 [4 per cell]
Se2 0.097 0.250 0.936 [4 per cell]
Se3 0.119 0.750 0.229 [4 per cell]

=====

No. 7
An optimized crystal structure of DyTmAu4. Source: the Open Quantum Materials Database, functional PBE.

Properties
As for the crystal system: tetragonal. Its mass density is 14.9 g/cm3. The total energy is -4.5705 eV/atom.

a b c (Å): 3.718 3.718 9.027
angles (deg): 90.00 90.00 90.00
Space group P4/mmm (No. 123)
Inequivalent atoms, fractional coordinates:
Dy1 0.000 0.000 0.000 [1 per cell]
Tm1 0.500 0.500 0.500 [1 per cell]
Au1 0.000 0.000 0.336 [2 per cell]
Au2 0.500 0.500 0.166 [2 per cell]

=====

No. 8
An optimized crystal structure of Zn2SeO. Source: the Open Quantum Materials Database, functional PBE.

Properties
As for the crystal system: trigonal. Its mass density is 5.4 g/cm3. The offset from the most stable computed form comes out at 38 meV/atom. The total energy is -3.6046 eV/atom.

a b c (Å): 3.6616 3.6616 5.9887
angles (deg): 90.00 90.00 120.00
Space group P3m1 (No. 156)
Inequivalent atoms, fractional coordinates:
Zn1 0.0000 0.0000 0.0000 [1 per cell]
Zn2 0.3333 0.6667 0.4087 [1 per cell]
Se1 0.3333 0.6667 0.8196 [1 per cell]
O1 0.0000 0.0000 0.3283 [1 per cell]

=====

No. 9
An optimized crystal structure of CsLaCu. Source: the Open Quantum Materials Database, functional PBE.

Properties
As for the crystal system: cubic. Its mass density is 5.7 g/cm3. The offset from the most stable computed form comes out at 307 meV/atom. The total energy is -2.2091 eV/atom.

a b c (Å): 7.297 7.297 7.297
angles (deg): 90.00 90.00 90.00
Space group F-43m (No. 216)
Inequivalent atoms, fractional coordinates:
Cs1 0.000 0.000 0.000 [4 per cell]
La1 0.250 0.250 0.250 [4 per cell]
Cu1 0.250 0.250 0.750 [4 per cell]

=====

No. 10
An optimized crystal structure of LaNpN3. Source: the Open Quantum Materials Database, functional PBE.

Properties
As for the crystal system: cubic. Its mass density is 9.2 g/cm3. The total energy is -9.7293 eV/atom.

a b c (Å): 4.219 4.219 4.219
angles (deg): 90.00 90.00 90.00
Space group Pm-3m (No. 221)
Inequivalent atoms, fractional coordinates:
La1 0.000 0.000 0.000 [1 per cell]
Np1 0.500 0.500 0.500 [1 per cell]
N1 0.000 0.500 0.500 [3 per cell]

=====

No. 11
An optimized crystal structure of Zr2HgMo2. Source: the Open Quantum Materials Database, functional PBE.

Properties
As for the crystal system: tetragonal. Its mass density is 8.7 g/cm3. The offset from the most stable computed form comes out at 267 meV/atom. The total energy is -6.9738 eV/atom.

a b c (Å): 4.324 4.324 11.685
angles (deg): 90.00 90.00 90.00
Space group I4/mmm (No. 139)
Inequivalent atoms, fractional coordinates:
Zr1 0.000 0.500 0.250 [4 per cell]
Hg1 0.000 0.000 0.000 [2 per cell]
Mo1 0.000 0.000 0.402 [4 per cell]

=====

No. 12
An optimized crystal structure of SmPuI2BrN. Source: the Open Quantum Materials Database, functional PBE.

Properties
As for the crystal system: monoclinic. Its mass density is 6.4 g/cm3. The total energy is -6.7564 eV/atom.

a b c (Å): 19.225 4.005 12.131
angles (deg): 90.00 124.26 90.00
Space group C2/m (No. 12)
Inequivalent atoms, fractional coordinates:
Sm1 0.076 0.000 0.464 [4 per cell]
Pu1 0.127 0.500 0.774 [4 per cell]
I1 0.047 0.500 0.241 [4 per cell]
I2 0.166 0.000 0.014 [4 per cell]
Br1 0.208 0.500 0.621 [4 per cell]
N1 0.072 0.000 0.654 [4 per cell]

=====

No. 13
An optimized crystal structure of TbYCo2Ge2C. Source: the Open Quantum Materials Database, functional PBE.

Properties
As for the crystal system: monoclinic. Its mass density is 7.6 g/cm3. The total energy is -6.8781 eV/atom.

a b c (Å): 10.767 3.936 6.856
angles (deg): 90.00 128.36 90.00
Space group Cm (No. 8)
Inequivalent atoms, fractional coordinates:
Tb1 0.000 0.000 0.000 [2 per cell]
Y1 0.119 0.000 0.587 [2 per cell]
Co1 0.250 0.500 0.375 [2 per cell]
Co2 0.368 0.000 0.212 [2 per cell]
Ge1 0.223 0.500 0.998 [2 per cell]
Ge2 0.396 0.000 0.588 [2 per cell]
C1 0.059 0.500 0.293 [2 per cell]

=====

No. 14
An optimized crystal structure of PbW4AuC2. Source: the Open Quantum Materials Database, functional PBE.

Properties
As for the crystal system: hexagonal. Its mass density is 16.1 g/cm3. The total energy is -9.2850 eV/atom.

a b c (Å): 3.1699 3.1699 13.8290
angles (deg): 90.00 90.00 120.00
Space group P-6m2 (No. 187)
Inequivalent atoms, fractional coordinates:
Pb1 0.0000 0.0000 0.0000 [1 per cell]
W1 0.0000 0.0000 0.3386 [2 per cell]
W2 0.3333 0.6667 0.1798 [2 per cell]
Au1 0.3333 0.6667 0.5000 [1 per cell]
C1 0.6667 0.3333 0.2578 [2 per cell]

=====

No. 15
An optimized crystal structure of TaNbNiGe. Source: the Open Quantum Materials Database, functional PBE.

Properties
As for the crystal system: cubic. Its mass density is 10.7 g/cm3. The offset from the most stable computed form comes out at 0 meV/atom. The total energy is -7.8938 eV/atom.

a b c (Å): 6.304 6.304 6.304
angles (deg): 90.00 90.00 90.00
Space group F-43m (No. 216)
Inequivalent atoms, fractional coordinates:
Ta1 0.000 0.000 0.000 [4 per cell]
Nb1 0.250 0.250 0.250 [4 per cell]
Ni1 0.250 0.250 0.750 [4 per cell]
Ge1 0.000 0.000 0.500 [4 per cell]

=====

No. 16
An optimized crystal structure of GaFeSb2. Source: the Open Quantum Materials Database, functional PBE.

Properties
As for the crystal system: cubic. Its mass density is 7.7 g/cm3. The total energy is -4.3345 eV/atom.

a b c (Å): 6.831 6.831 6.831
angles (deg): 90.00 90.00 90.00
Space group F-43m (No. 216)
Inequivalent atoms, fractional coordinates:
Ga1 0.000 0.000 0.000 [4 per cell]
Fe1 0.250 0.250 0.250 [4 per cell]
Sb1 0.000 0.000 0.500 [4 per cell]
Sb2 0.250 0.250 0.750 [4 per cell]

=====

No. 17
An optimized crystal structure of TmSc4C2S. Source: the Open Quantum Materials Database, functional PBE.

Properties
As for the crystal system: hexagonal. Its mass density is 4.6 g/cm3. The total energy is -7.3379 eV/atom.

a b c (Å): 3.4108 3.4108 14.4246
angles (deg): 90.00 90.00 120.00
Space group P-6m2 (No. 187)
Inequivalent atoms, fractional coordinates:
Tm1 0.0000 0.0000 0.0000 [1 per cell]
Sc1 0.0000 0.0000 0.3781 [2 per cell]
Sc2 0.6667 0.3333 0.2091 [2 per cell]
C1 0.3333 0.6667 0.2900 [2 per cell]
S1 0.6667 0.3333 0.5000 [1 per cell]

=====

No. 18
An optimized crystal structure of CsYCdO3. Source: the Open Quantum Materials Database, functional PBE.

Properties
As for the crystal system: orthorhombic. Its mass density is 5.2 g/cm3. The total energy is -5.8769 eV/atom.

a b c (Å): 3.629 14.397 9.285
angles (deg): 90.00 90.00 90.00
Space group Cmcm (No. 63)
Inequivalent atoms, fractional coordinates:
Cs1 0.000 0.194 0.250 [4 per cell]
Y1 0.000 0.500 0.000 [4 per cell]
Cd1 0.000 0.083 0.750 [4 per cell]
O1 0.000 0.101 0.525 [8 per cell]
O2 0.000 0.480 0.750 [4 per cell]

=====

No. 19
An optimized crystal structure of Pr2H5. Source: the Open Quantum Materials Database, functional PBE.

Properties
As for the crystal system: tetragonal. Its mass density is 5.8 g/cm3. The total energy is -4.3494 eV/atom.

a b c (Å): 5.448 5.448 11.002
angles (deg): 90.00 90.00 90.00
Space group I4_1md (No. 109)
Inequivalent atoms, fractional coordinates:
Pr1 0.000 0.000 0.000 [4 per cell]
Pr2 0.000 0.000 0.492 [4 per cell]
H1 0.000 0.000 0.245 [4 per cell]
H2 0.231 0.250 0.871 [16 per cell]

=====

No. 20
An optimized crystal structure of LiZrAg3O4. Source: the Open Quantum Materials Database, functional PBE.

Properties
As for the crystal system: cubic. Its mass density is 4.8 g/cm3. The total energy is -5.2794 eV/atom.

a b c (Å): 5.532 5.532 5.532
angles (deg): 90.00 90.00 90.00
Space group P-43m (No. 215)
Inequivalent atoms, fractional coordinates:
Li1 0.000 0.000 0.000 [1 per cell]
Zr1 0.500 0.500 0.500 [1 per cell]
Ag1 0.000 0.500 0.500 [3 per cell]
O1 0.285 0.285 0.285 [4 per cell]